Record 1
DFT (PBE) results for a relaxed structure of HoGe3Pd3.

a = 6.7779 Å, b = 6.7779 Å, c = 6.7779 Å
α = 90.00°, β = 90.00°, γ = 90.00°
Last column: nearest neighbours and their distance in Å.
Element x y z (fractional)
1 Ho 0.0000 0.0000 0.0000  12 Ge 3.79, 12 Pd 3.79
2 Ho 0.5000 0.5000 0.5000  12 Ge 3.79, 12 Pd 3.79
3 Ge 0.0000 0.2500 0.5000  4 Pd 2.40
4 Ge 0.0000 0.7500 0.5000  4 Pd 2.40
5 Ge 0.2500 0.5000 0.0000  4 Pd 2.40
6 Ge 0.5000 0.0000 0.2500  4 Pd 2.40
7 Ge 0.5000 0.0000 0.7500  4 Pd 2.40
8 Ge 0.7500 0.5000 0.0000  4 Pd 2.40
9 Pd 0.0000 0.5000 0.2500  4 Ge 2.40
10 Pd 0.0000 0.5000 0.7500  4 Ge 2.40
11 Pd 0.2500 0.0000 0.5000  4 Ge 2.40
12 Pd 0.5000 0.2500 0.0000  4 Ge 2.40
13 Pd 0.5000 0.7500 0.0000  4 Ge 2.40
14 Pd 0.7500 0.0000 0.5000  4 Ge 2.40

total DFT energy (no corrections): -5.027 eV/atom
calculated volume: 22.2 A^3/atom
total magnetic moment: 0.0 μB/f.u.
ΔE_f: -1.2 eV per formula unit
space-group type: Pm-3n, No. 223

Record 2
DFT (PBE) results for a relaxed structure of Ho2Ge7Pd12.

a = 10.3079 Å, b = 10.3079 Å, c = 3.8387 Å
α = 90.00°, β = 90.00°, γ = 120.00°
Last column: nearest neighbours and their distance in Å.
Element x y z (fractional)
1 Ho 0.3333 0.6667 0.2451  6 Ge 3.10-3.12, 6 Pd 3.19-3.22
2 Ho 0.6667 0.3333 0.7549  6 Ge 3.10-3.12, 6 Pd 3.19-3.22
3 Ge 0.0000 0.0000 0.5000  6 Pd 2.51
4 Ge 0.1203 0.7101 0.7489  7 Pd 2.51-2.61
5 Ge 0.2899 0.4102 0.7489  7 Pd 2.51-2.61
6 Ge 0.4102 0.1203 0.2511  7 Pd 2.51-2.61
7 Ge 0.5898 0.8797 0.7489  7 Pd 2.51-2.61
8 Ge 0.7101 0.5898 0.2511  7 Pd 2.51-2.61
9 Ge 0.8797 0.2899 0.2511  7 Pd 2.51-2.61
10 Pd 0.0641 0.4438 0.7510  4 Ge 2.51-2.61
11 Pd 0.1114 0.2587 0.2471  4 Ge 2.51-2.58
12 Pd 0.1473 0.8886 0.2471  4 Ge 2.51-2.58
13 Pd 0.2587 0.1473 0.7529  4 Ge 2.51-2.58
14 Pd 0.3797 0.9359 0.7510  4 Ge 2.51-2.61
15 Pd 0.4438 0.3797 0.2490  4 Ge 2.51-2.61
16 Pd 0.5562 0.6203 0.7510  4 Ge 2.51-2.61
17 Pd 0.6203 0.0641 0.2490  4 Ge 2.51-2.61
18 Pd 0.7413 0.8527 0.2471  4 Ge 2.51-2.58
19 Pd 0.8527 0.1114 0.7529  4 Ge 2.51-2.58
20 Pd 0.8886 0.7413 0.7529  4 Ge 2.51-2.58
21 Pd 0.9359 0.5562 0.2490  4 Ge 2.51-2.61

total DFT energy (no corrections): -5.618 eV/atom
calculated volume: 16.8 A^3/atom
total magnetic moment: 0.0 μB/f.u.
ΔE_f: -14.2 eV per formula unit
space-group type: P-3, No. 147

Record 3
DFT (PBE) results for a relaxed structure of HoGePd4.

a = 4.6782 Å, b = 5.5453 Å, c = 8.8516 Å
α = 71.81°, β = 74.77°, γ = 89.99°
Last column: nearest neighbours and their distance in Å.
Element x y z (fractional)
1 Ho 0.2500 0.2207 0.9998  8 Pd 2.80-2.88
2 Ho 0.7500 0.7793 0.0002  8 Pd 2.80-2.88
3 Ge 0.0000 0.5000 0.5000  8 Pd 2.55-2.73
4 Ge 0.5000 0.0000 0.5000  8 Pd 2.54-2.73
5 Pd 0.0797 0.9761 0.3429  3 Ge 2.55-2.73, 1 Pd 2.78, 1 Ho 2.80
6 Pd 0.1551 0.5607 0.1908  1 Ge 2.55, 1 Pd 2.86
7 Pd 0.3450 0.7515 0.8092  1 Ge 2.55, 2 Pd 2.86
8 Pd 0.4204 0.3193 0.6567  3 Ge 2.54-2.73, 1 Pd 2.78, 1 Ho 2.80
9 Pd 0.5796 0.6807 0.3433  3 Ge 2.54-2.73, 1 Pd 2.78, 1 Ho 2.80
10 Pd 0.6550 0.2485 0.1908  1 Ge 2.55, 2 Pd 2.86
11 Pd 0.8449 0.4393 0.8092  1 Ge 2.55, 1 Pd 2.86
12 Pd 0.9203 0.0239 0.6571  3 Ge 2.55-2.73, 1 Pd 2.78, 1 Ho 2.80

total DFT energy (no corrections): -5.605 eV/atom
calculated volume: 17.5 A^3/atom
total magnetic moment: 0.0 μB/f.u.
ΔE_f: -3.7 eV per formula unit
space-group type: P-1, No. 2

Record 4
DFT (PBE) results for a relaxed structure of Ho3Ge3Pd2.

a = 7.9914 Å, b = 14.4318 Å, c = 5.7323 Å
α = 90.00°, β = 90.00°, γ = 90.00°
Last column: nearest neighbours and their distance in Å.
Element x y z (fractional)
1 Ho 0.0380 0.1102 0.1338  2 Pd 2.99-3.08, 6 Ge 3.00-3.28
2 Ho 0.0380 0.3898 0.1338  2 Pd 2.99-3.08, 6 Ge 3.00-3.28
3 Ho 0.1859 0.2500 0.6290  5 Ge 3.01-3.26, 4 Pd 3.01-3.10
4 Ho 0.3141 0.7500 0.1290  5 Ge 3.01-3.26, 4 Pd 3.01-3.10
5 Ho 0.4620 0.6102 0.6338  2 Pd 2.99-3.08, 6 Ge 3.00-3.28
6 Ho 0.4620 0.8898 0.6338  2 Pd 2.99-3.08, 6 Ge 3.00-3.28
7 Ho 0.5380 0.1102 0.3662  2 Pd 2.99-3.08, 6 Ge 3.00-3.28
8 Ho 0.5380 0.3898 0.3662  2 Pd 2.99-3.08, 6 Ge 3.00-3.28
9 Ho 0.6859 0.2500 0.8710  5 Ge 3.01-3.26, 4 Pd 3.01-3.10
10 Ho 0.8141 0.7500 0.3710  5 Ge 3.01-3.26, 4 Pd 3.01-3.10
11 Ho 0.9620 0.6102 0.8662  2 Pd 2.99-3.08, 6 Ge 3.00-3.28
12 Ho 0.9620 0.8898 0.8662  2 Pd 2.99-3.08, 6 Ge 3.00-3.28
13 Ge 0.1805 0.7500 0.6199  2 Pd 2.62
14 Ge 0.2034 0.0397 0.5985  3 Pd 2.50-2.63
15 Ge 0.2034 0.4603 0.5985  3 Pd 2.50-2.63
16 Ge 0.2966 0.5397 0.0985  3 Pd 2.50-2.63
17 Ge 0.2966 0.9603 0.0985  3 Pd 2.50-2.63
18 Ge 0.3195 0.2500 0.1199  2 Pd 2.62
19 Ge 0.6805 0.7500 0.8801  2 Pd 2.62
20 Ge 0.7034 0.0397 0.9015  3 Pd 2.50-2.63
21 Ge 0.7034 0.4603 0.9015  3 Pd 2.50-2.63
22 Ge 0.7966 0.5397 0.4015  3 Pd 2.50-2.63
23 Ge 0.7966 0.9603 0.4015  3 Pd 2.50-2.63
24 Ge 0.8195 0.2500 0.3801  2 Pd 2.62
25 Pd 0.0864 0.6058 0.3750  4 Ge 2.50-2.63
26 Pd 0.0864 0.8942 0.3750  4 Ge 2.50-2.63
27 Pd 0.4136 0.1058 0.8750  4 Ge 2.50-2.63
28 Pd 0.4136 0.3942 0.8750  4 Ge 2.50-2.63
29 Pd 0.5864 0.6058 0.1250  4 Ge 2.50-2.63
30 Pd 0.5864 0.8942 0.1250  4 Ge 2.50-2.63
31 Pd 0.9136 0.1058 0.6250  4 Ge 2.50-2.63
32 Pd 0.9136 0.3942 0.6250  4 Ge 2.50-2.63

energy above the most stable polymorph in this dataset: 57 meV/atom
total DFT energy (no corrections): -5.641 eV/atom
calculated volume: 20.7 A^3/atom
total magnetic moment: 0.0 μB/f.u.
ΔE_f: -7.2 eV per formula unit
space-group type: Pnma, No. 62

Record 5
DFT (PBE) results for a relaxed structure of Ho3Ge2Pd7.

a = 14.0127 Å, b = 14.0127 Å, c = 14.0127 Å
α = 163.46°, β = 163.46°, γ = 23.47°
Last column: nearest neighbours and their distance in Å.
Element x y z (fractional)
1 Ho 0.0000 0.0000 0.0000  12 Pd 2.85-2.94
2 Ho 0.1741 0.1741 0.0000  5 Pd 2.83-3.15, 4 Ge 3.08
3 Ho 0.8259 0.8259 0.0000  5 Pd 2.83-3.15, 4 Ge 3.08
4 Ge 0.3685 0.3685 0.0000  5 Pd 2.49-2.50
5 Ge 0.6315 0.6315 0.0000  5 Pd 2.49-2.50
6 Pd 0.0781 0.5781 0.5000  2 Ge 2.49
7 Pd 0.2773 0.2773 0.0000  1 Ge 2.50
8 Pd 0.4219 0.9219 0.5000  2 Ge 2.49
9 Pd 0.5000 0.5000 0.0000  4 Ho 2.85, 8 Pd 2.94
10 Pd 0.5781 0.0781 0.5000  2 Ge 2.49
11 Pd 0.7227 0.7227 0.0000  1 Ge 2.50
12 Pd 0.9219 0.4219 0.5000  2 Ge 2.49

total DFT energy (no corrections): -5.766 eV/atom
calculated volume: 18.6 A^3/atom
total magnetic moment: 0.0 μB/f.u.
ΔE_f: -9.9 eV per formula unit
space-group type: I4/mmm, No. 139

Record 6
DFT (PBE) results for a relaxed structure of HoGePd.

a = 11.3535 Å, b = 11.3535 Å, c = 11.3535 Å
α = 157.65°, β = 45.56°, γ = 140.83°
Last column: nearest neighbours and their distance in Å.
Element x y z (fractional)
1 Ho 0.0000 0.0000 0.0000  6 Ge 3.08-3.19, 6 Pd 3.12-3.13
2 Ho 0.2415 0.0745 0.1670  6 Pd 3.05-3.13, 6 Ge 3.09-3.22
3 Ho 0.3315 0.9983 0.3332  6 Pd 2.95-3.20, 6 Ge 3.03-3.28
4 Ho 0.5803 0.0803 0.5000  6 Ge 2.98-3.01, 6 Pd 3.20-3.25
5 Ho 0.6650 0.9983 0.6668  6 Pd 2.95-3.20, 6 Ge 3.03-3.28
6 Ho 0.9075 0.0745 0.8330  6 Pd 3.05-3.13, 6 Ge 3.09-3.22
7 Ge 0.3141 0.3793 0.9348  3 Pd 2.55-2.62, 1 Ge 2.73
8 Ge 0.4445 0.3793 0.0652  3 Pd 2.55-2.62, 1 Ge 2.73
9 Ge 0.4598 0.6956 0.7643  4 Pd 2.56-2.75
10 Ge 0.7846 0.3772 0.4074  3 Pd 2.57
11 Ge 0.9313 0.6956 0.2357  4 Pd 2.56-2.75
12 Ge 0.9698 0.3772 0.5926  3 Pd 2.57
13 Pd 0.0994 0.3662 0.7332  3 Ge 2.56-2.59
14 Pd 0.1373 0.7099 0.4274  3 Ge 2.55-2.57
15 Pd 0.2825 0.7099 0.5726  3 Ge 2.55-2.57
16 Pd 0.6020 0.7066 0.8955  4 Ge 2.57-2.75
17 Pd 0.6329 0.3662 0.2668  3 Ge 2.56-2.59
18 Pd 0.8111 0.7066 0.1045  4 Ge 2.57-2.75

total DFT energy (no corrections): -5.784 eV/atom
calculated volume: 19.5 A^3/atom
total magnetic moment: 0.0 μB/f.u.
ΔE_f: -3.0 eV per formula unit
space-group type: Imm2, No. 44

Record 7
DFT (PBE) results for a relaxed structure of Ho2Ge3Pd9.

a = 7.7594 Å, b = 7.7594 Å, c = 10.0602 Å
α = 112.43°, β = 112.43°, γ = 60.12°
Last column: nearest neighbours and their distance in Å.
Element x y z (fractional)
1 Ho 0.0849 0.2556 0.2501  11 Pd 2.96-3.23
2 Ho 0.2556 0.0849 0.7501  11 Pd 2.96-3.23
3 Ho 0.7444 0.9151 0.2499  11 Pd 2.96-3.23
4 Ho 0.9151 0.7444 0.7499  11 Pd 2.96-3.23
5 Ge 0.0000 0.5000 0.0000  8 Pd 2.47-2.73
6 Ge 0.1518 0.6758 0.5007  7 Pd 2.46-2.73
7 Ge 0.3242 0.8482 0.9993  7 Pd 2.46-2.73
8 Ge 0.5000 0.0000 0.5000  8 Pd 2.47-2.73
9 Ge 0.6758 0.1518 0.0007  7 Pd 2.46-2.73
10 Ge 0.8482 0.3242 0.4993  7 Pd 2.46-2.73
11 Pd 0.0164 0.8690 0.0796  3 Ge 2.53-2.72, 2 Pd 2.82-2.83
12 Pd 0.1310 0.9836 0.4204  3 Ge 2.53-2.72, 2 Pd 2.82-2.83
13 Pd 0.1835 0.3613 0.5777  3 Ge 2.55-2.73, 2 Pd 2.79
14 Pd 0.2089 0.5787 0.2526  2 Ge 2.46-2.47
15 Pd 0.3054 0.4845 0.9449  3 Ge 2.57-2.78, 1 Pd 2.88
16 Pd 0.3613 0.1835 0.0777  3 Ge 2.55-2.73, 2 Pd 2.79
17 Pd 0.3681 0.6319 0.7500  2 Ge 2.47
18 Pd 0.4213 0.7911 0.2474  2 Ge 2.46-2.47
19 Pd 0.4845 0.3054 0.4449  3 Ge 2.57-2.78, 1 Pd 2.88
20 Pd 0.5155 0.6946 0.5551  3 Ge 2.57-2.78, 1 Pd 2.88
21 Pd 0.5787 0.2089 0.7526  2 Ge 2.46-2.47
22 Pd 0.6319 0.3681 0.2500  2 Ge 2.47
23 Pd 0.6387 0.8165 0.9223  3 Ge 2.55-2.73, 2 Pd 2.79
24 Pd 0.6946 0.5155 0.0551  3 Ge 2.57-2.78, 1 Pd 2.88
25 Pd 0.7911 0.4213 0.7474  2 Ge 2.46-2.47
26 Pd 0.8165 0.6387 0.4223  3 Ge 2.55-2.73, 2 Pd 2.79
27 Pd 0.8690 0.0164 0.5796  3 Ge 2.53-2.72, 2 Pd 2.82-2.83
28 Pd 0.9836 0.1310 0.9204  3 Ge 2.53-2.72, 2 Pd 2.82-2.83

total DFT energy (no corrections): -5.726 eV/atom
calculated volume: 16.8 A^3/atom
total magnetic moment: 0.0 μB/f.u.
ΔE_f: -10.4 eV per formula unit
space-group type: C2/c, No. 15

Record 8
DFT (PBE) results for a relaxed structure of HoGePd.

a = 4.4071 Å, b = 13.9553 Å, c = 7.5944 Å
α = 90.00°, β = 90.00°, γ = 90.00°
Last column: nearest neighbours and their distance in Å.
Element x y z (fractional)
1 Ho 0.2500 0.0013 0.2138  6 Pd 2.95-3.15, 6 Ge 3.05-3.22
2 Ho 0.2500 0.2500 0.2967  6 Ge 3.01-3.02, 6 Pd 3.21-3.22
3 Ho 0.2500 0.4987 0.2138  6 Pd 2.95-3.15, 6 Ge 3.05-3.22
4 Ho 0.2500 0.7500 0.2909  6 Pd 3.09-3.13, 6 Ge 3.11-3.20
5 Ho 0.7500 0.2500 0.7091  6 Pd 3.09-3.13, 6 Ge 3.11-3.20
6 Ho 0.7500 0.5013 0.7862  6 Pd 2.95-3.15, 6 Ge 3.05-3.22
7 Ho 0.7500 0.7500 0.7033  6 Ge 3.01-3.02, 6 Pd 3.21-3.22
8 Ho 0.7500 0.9987 0.7862  6 Pd 2.95-3.15, 6 Ge 3.05-3.22
9 Ge 0.2500 0.1060 0.5921  4 Pd 2.57-2.81
10 Ge 0.2500 0.3940 0.5921  4 Pd 2.57-2.81
11 Ge 0.2500 0.6526 0.9088  3 Pd 2.55-2.61, 1 Ge 2.72
12 Ge 0.2500 0.8474 0.9088  3 Pd 2.55-2.61, 1 Ge 2.72
13 Ge 0.7500 0.1526 0.0912  3 Pd 2.55-2.61, 1 Ge 2.72
14 Ge 0.7500 0.3474 0.0912  3 Pd 2.55-2.61, 1 Ge 2.72
15 Ge 0.7500 0.6060 0.4079  4 Pd 2.57-2.81
16 Ge 0.7500 0.8940 0.4079  4 Pd 2.57-2.81
17 Pd 0.2500 0.1413 0.9236  3 Ge 2.55-2.57
18 Pd 0.2500 0.3587 0.9236  3 Ge 2.55-2.57
19 Pd 0.2500 0.5955 0.5819  4 Ge 2.57-2.81
20 Pd 0.2500 0.9045 0.5819  4 Ge 2.57-2.81
21 Pd 0.7500 0.0955 0.4181  4 Ge 2.57-2.81
22 Pd 0.7500 0.4045 0.4181  4 Ge 2.57-2.81
23 Pd 0.7500 0.6413 0.0764  3 Ge 2.55-2.57
24 Pd 0.7500 0.8587 0.0764  3 Ge 2.55-2.57

total DFT energy (no corrections): -5.786 eV/atom
calculated volume: 19.5 A^3/atom
total magnetic moment: 0.0 μB/f.u.
ΔE_f: -3.0 eV per formula unit
space-group type: Pmmn, No. 59